# K3FeB2O6 (GGA+U, relaxed)
data_K3FeB2O6
_cell_length_a 5.333
_cell_length_b 5.333
_cell_length_c 6.715
_cell_angle_alpha 90.00
_cell_angle_beta 90.00
_cell_angle_gamma 120.00
_symmetry_space_group_name_H-M 'P 1'
_symmetry_Int_Tables_number 1
_symmetry_space_group_name_Hall 'P 1'
loop_
_atom_site_label
_atom_site_fract_x
_atom_site_fract_y
_atom_site_fract_z
K1 0.000 0.000 0.000
K2 0.333 0.667 0.744
K3 0.667 0.333 0.256
Fe1 0.000 0.000 0.500
B1 0.333 0.667 0.320
B2 0.667 0.333 0.680
O1 0.182 0.364 0.316
O2 0.182 0.818 0.316
O3 0.364 0.182 0.684
O4 0.636 0.818 0.316
O5 0.818 0.182 0.684
O6 0.818 0.636 0.684
# - ρ: 2.92 g/cm³
# - Energy: -6.318 eV/atom
# - Crystal system: trigonal
# - DOS at the Fermi energy: 0.000 states/eV per atom